# Te2MoRh, relaxed, DFT PBE-GGA
data_Te2MoRh
_symmetry_space_group_name_H-M 'F m -3 m'
_symmetry_Int_Tables_number 225
_symmetry_space_group_name_Hall '-F 4 2 3'
_cell_length_a 6.7373
_cell_length_b 6.7373
_cell_length_c 6.7373
_cell_angle_alpha 90.00
_cell_angle_beta 90.00
_cell_angle_gamma 90.00
loop_
_atom_site_label
_atom_site_type_symbol
_atom_site_fract_x
_atom_site_fract_y
_atom_site_fract_z
Te1 Te 0.2500 0.2500 0.2500
Mo1 Mo 0.0000 0.0000 0.0000
Rh1 Rh 0.0000 0.0000 0.5000
# ΔE_f (raw) = 101 kJ/mol of formula units
# E above lowest polymorph = 368.3 meV per atom